AlVO: optimized geometry, PBE with a Hubbard U.

a b c (Å): 10.3232 2.9502 2.9502
angles (deg): 56.75 90.00 90.00
With the nearest neighbours (Å) after each atom.
Positions (direct):
Al  0.0000  0.0000  0.0000  6 V 2.75-2.80, 6 Al 2.80-2.95
Al  0.5000  0.1252  0.1252  6 O 2.02-2.06
V  0.2148  0.3139  0.3139  2 O 2.28
V  0.7852  0.3139  0.3139  2 O 2.28
O  0.3888  0.7958  0.7958  3 Al 2.02-2.06
O  0.6112  0.7958  0.7958  3 Al 2.02-2.06

Properties
**Symmetry**: Amm2 (38)
**Electronic total energy**: -6.129 eV/atom